(1)
Entry from the Alexandria database: TmTl2Pb after structural relaxation (GGA-PBE).

It has space group P4/mmm (No. 123), with a = 3.956 Å, b = 3.956 Å, c = 7.239 Å, α = 90.00°, β = 90.00° and γ = 90.00°. The distinct sites, in fractional coordinates, are Tm at (0.000, 0.000, 0.000), Tl at (0.500, 0.500, 0.245) and Pb at (0.000, 0.000, 0.500).

Its total energy is -0.1214 Ha/atom. As for the density: 11.5 g/cm3. Its formation energy is -7.3 kJ/mol of atoms. The density of states at the Fermi level comes out at 0.615 states/eV/atom.

---

(2)
Entry from the Alexandria database: TmTl3Pb12 after structural relaxation (GGA-PBE).

It has space group P4/mmm (No. 123), with a = 4.895 Å, b = 4.895 Å, c = 20.521 Å, α = 90.00°, β = 90.00° and γ = 90.00°. The distinct sites, in fractional coordinates, are Tm at (0.000, 0.000, 0.000), Tl at (0.000, 0.000, 0.247), Tl at (0.000, 0.000, 0.500), Pb at (0.000, 0.500, 0.120), Pb at (0.000, 0.500, 0.373), Pb at (0.500, 0.500, 0.000), Pb at (0.500, 0.500, 0.249) and Pb at (0.500, 0.500, 0.500).

Its total energy is -0.1305 Ha/atom. As for the density: 11.0 g/cm3. Its formation energy is -4.4 kJ/mol of atoms. The density of states at the Fermi level comes out at 0.445 states/eV/atom.

---

(3)
Entry from the Alexandria database: Tm2Tl2Pb after structural relaxation (GGA-PBE).

It has space group P6_3/mmc (No. 194), with a = 5.2776 Å, b = 5.2776 Å, c = 12.0066 Å, α = 90.00°, β = 90.00° and γ = 120.00°. The distinct sites, in fractional coordinates, are Tm at (0.0000, 0.0000, 0.0000), Tm at (0.3333, 0.6667, 0.2500), Tl at (0.3333, 0.6667, 0.5775) and Pb at (0.0000, 0.0000, 0.2500).

Its total energy is -0.1333 Ha/atom. As for the density: 10.9 g/cm3. The value obtained for the relative energy among the computed polymorphs is 71 meV per atom. Its formation energy is -14.4 kJ/mol of atoms. The density of states at the Fermi level comes out at 0.838 states/eV/atom.

---

(4)
Entry from the Alexandria database: TmTl2Pb after structural relaxation (GGA-PBE).

It has space group P4/mmm (No. 123), with a = 4.732 Å, b = 4.732 Å, c = 4.918 Å, α = 90.00°, β = 90.00° and γ = 90.00°. The distinct sites, in fractional coordinates, are Tm at (0.000, 0.000, 0.000), Tl at (0.000, 0.500, 0.500) and Pb at (0.500, 0.500, 0.000).

Its total energy is -0.1253 Ha/atom. As for the density: 11.8 g/cm3. Its formation energy is -17.6 kJ/mol of atoms. The density of states at the Fermi level comes out at 0.768 states/eV/atom.

---

> formation energy of number 3 (Tm2Tl2Pb)?

-14.4 kJ/mol of atoms

---

> The lowest formation energy belongs to which entry?

number 4